(1)
# Nd5AgPt2 | Alexandria | PBE | relaxed
data_Nd5AgPt2
_cell_length_a 8.884
_cell_length_b 8.884
_cell_length_c 8.884
_cell_angle_alpha 125.70
_cell_angle_beta 125.70
_cell_angle_gamma 80.38
_symmetry_space_group_name_H-M 'P 1'
_symmetry_Int_Tables_number 1
loop_
_symmetry_equiv_pos_as_xyz
'x,y,z'
loop_
_atom_site_label
_atom_site_type_symbol
_atom_site_fract_x
_atom_site_fract_y
_atom_site_fract_z
_atom_site_occupancy
Nd1 Nd 0.000 0.000 0.000 1
Nd2 Nd 0.024 0.524 0.824 1
Nd3 Nd 0.199 0.024 0.500 1
Nd4 Nd 0.301 0.801 0.824 1
Nd5 Nd 0.476 0.301 0.500 1
Nd6 Nd 0.500 0.500 0.000 1
Nd7 Nd 0.524 0.699 0.500 1
Nd8 Nd 0.699 0.199 0.176 1
Nd9 Nd 0.801 0.976 0.500 1
Nd10 Nd 0.976 0.476 0.176 1
Ag1 Ag 0.250 0.250 0.000 1
Ag2 Ag 0.750 0.750 0.000 1
Pt1 Pt 0.133 0.367 0.500 1
Pt2 Pt 0.367 0.867 0.235 1
Pt3 Pt 0.633 0.133 0.765 1
Pt4 Pt 0.867 0.633 0.500 1
# crystal system: tetragonal
# energy relative to the elements: -0.6547 eV per atom

***

(2)
# Nd4AgPt2 | Alexandria | PBE | relaxed
data_Nd4AgPt2
_cell_length_a 8.181
_cell_length_b 8.181
_cell_length_c 8.181
_cell_angle_alpha 109.24
_cell_angle_beta 109.21
_cell_angle_gamma 109.97
_symmetry_space_group_name_H-M 'P 1'
_symmetry_Int_Tables_number 1
loop_
_symmetry_equiv_pos_as_xyz
'x,y,z'
loop_
_atom_site_label
_atom_site_type_symbol
_atom_site_fract_x
_atom_site_fract_y
_atom_site_fract_z
_atom_site_occupancy
Nd1 Nd 0.204 0.268 0.564 1
Nd2 Nd 0.204 0.640 0.936 1
Nd3 Nd 0.269 0.205 0.064 1
Nd4 Nd 0.360 0.795 0.564 1
Nd5 Nd 0.640 0.205 0.436 1
Nd6 Nd 0.731 0.795 0.936 1
Nd7 Nd 0.796 0.360 0.064 1
Nd8 Nd 0.796 0.732 0.436 1
Ag1 Ag 0.125 0.875 0.250 1
Ag2 Ag 0.875 0.125 0.750 1
Pt1 Pt 0.000 0.500 0.500 1
Pt2 Pt 0.500 0.000 0.000 1
Pt3 Pt 0.500 0.500 0.000 1
Pt4 Pt 0.500 0.500 0.500 1
# crystal system: orthorhombic
# energy relative to the elements: -0.6206 eV per atom

***

(3)
# Nd6Ag5Pt | Alexandria | PBE | relaxed
data_Nd6Ag5Pt
_cell_length_a 9.122
_cell_length_b 9.122
_cell_length_c 5.261
_cell_angle_alpha 106.69
_cell_angle_beta 106.69
_cell_angle_gamma 48.39
_symmetry_space_group_name_H-M 'P 1'
_symmetry_Int_Tables_number 1
loop_
_symmetry_equiv_pos_as_xyz
'x,y,z'
loop_
_atom_site_label
_atom_site_type_symbol
_atom_site_fract_x
_atom_site_fract_y
_atom_site_fract_z
_atom_site_occupancy
Nd1 Nd 0.082 0.598 0.340 1
Nd2 Nd 0.237 0.763 0.000 1
Nd3 Nd 0.402 0.918 0.660 1
Nd4 Nd 0.598 0.082 0.340 1
Nd5 Nd 0.763 0.237 0.000 1
Nd6 Nd 0.918 0.402 0.660 1
Ag1 Ag 0.180 0.180 0.180 1
Ag2 Ag 0.332 0.332 0.832 1
Ag3 Ag 0.500 0.500 0.500 1
Ag4 Ag 0.668 0.668 0.168 1
Ag5 Ag 0.820 0.820 0.820 1
Pt1 Pt 0.000 0.000 0.500 1
# crystal system: monoclinic
# energy relative to the elements: -0.4001 eV per atom

***

(4)
# Nd5Ag4Pt | Alexandria | PBE | relaxed
data_Nd5Ag4Pt
_cell_length_a 3.698
_cell_length_b 3.698
_cell_length_c 18.928
_cell_angle_alpha 90.00
_cell_angle_beta 90.00
_cell_angle_gamma 90.00
_symmetry_space_group_name_H-M 'P 1'
_symmetry_Int_Tables_number 1
loop_
_symmetry_equiv_pos_as_xyz
'x,y,z'
loop_
_atom_site_label
_atom_site_type_symbol
_atom_site_fract_x
_atom_site_fract_y
_atom_site_fract_z
_atom_site_occupancy
Nd1 Nd 0.000 0.000 0.000 1
Nd2 Nd 0.000 0.000 0.204 1
Nd3 Nd 0.000 0.000 0.409 1
Nd4 Nd 0.000 0.000 0.591 1
Nd5 Nd 0.000 0.000 0.796 1
Ag1 Ag 0.500 0.500 0.102 1
Ag2 Ag 0.500 0.500 0.304 1
Ag3 Ag 0.500 0.500 0.696 1
Ag4 Ag 0.500 0.500 0.898 1
Pt1 Pt 0.500 0.500 0.500 1
# crystal system: tetragonal
# energy relative to the elements: -0.4174 eV per atom

***

(5)
# Nd8AgPt2 | Alexandria | PBE | relaxed
data_Nd8AgPt2
_cell_length_a 8.143
_cell_length_b 8.143
_cell_length_c 5.848
_cell_angle_alpha 98.58
_cell_angle_beta 98.58
_cell_angle_gamma 115.16
_symmetry_space_group_name_H-M 'P 1'
_symmetry_Int_Tables_number 1
loop_
_symmetry_equiv_pos_as_xyz
'x,y,z'
loop_
_atom_site_label
_atom_site_type_symbol
_atom_site_fract_x
_atom_site_fract_y
_atom_site_fract_z
_atom_site_occupancy
Nd1 Nd 0.085 0.332 0.581 1
Nd2 Nd 0.239 0.761 0.000 1
Nd3 Nd 0.332 0.085 0.581 1
Nd4 Nd 0.384 0.384 0.186 1
Nd5 Nd 0.616 0.616 0.814 1
Nd6 Nd 0.668 0.915 0.419 1
Nd7 Nd 0.761 0.239 0.000 1
Nd8 Nd 0.915 0.668 0.419 1
Ag1 Ag 0.000 0.000 0.000 1
Pt1 Pt 0.299 0.701 0.500 1
Pt2 Pt 0.701 0.299 0.500 1
# crystal system: monoclinic
# energy relative to the elements: -0.3636 eV per atom

***

(6)
# NdAg2Pt9 | Alexandria | PBE | relaxed
data_NdAg2Pt9
_cell_length_a 9.264
_cell_length_b 9.264
_cell_length_c 9.264
_cell_angle_alpha 33.71
_cell_angle_beta 33.71
_cell_angle_gamma 33.71
_symmetry_space_group_name_H-M 'P 1'
_symmetry_Int_Tables_number 1
loop_
_symmetry_equiv_pos_as_xyz
'x,y,z'
loop_
_atom_site_label
_atom_site_type_symbol
_atom_site_fract_x
_atom_site_fract_y
_atom_site_fract_z
_atom_site_occupancy
Nd1 Nd 0.000 0.000 0.000 1
Ag1 Ag 0.148 0.148 0.148 1
Ag2 Ag 0.852 0.852 0.852 1
Pt1 Pt 0.082 0.587 0.587 1
Pt2 Pt 0.334 0.334 0.334 1
Pt3 Pt 0.413 0.413 0.918 1
Pt4 Pt 0.413 0.918 0.413 1
Pt5 Pt 0.500 0.500 0.500 1
Pt6 Pt 0.587 0.082 0.587 1
Pt7 Pt 0.587 0.587 0.082 1
Pt8 Pt 0.666 0.666 0.666 1
Pt9 Pt 0.918 0.413 0.413 1
# crystal system: trigonal
# energy relative to the elements: -0.3261 eV per atom

***

(7)
# Nd4AgPt | Alexandria | PBE | relaxed
data_Nd4AgPt
_cell_length_a 8.224
_cell_length_b 8.224
_cell_length_c 8.224
_cell_angle_alpha 107.23
_cell_angle_beta 107.23
_cell_angle_gamma 114.06
_symmetry_space_group_name_H-M 'P 1'
_symmetry_Int_Tables_number 1
loop_
_symmetry_equiv_pos_as_xyz
'x,y,z'
loop_
_atom_site_label
_atom_site_type_symbol
_atom_site_fract_x
_atom_site_fract_y
_atom_site_fract_z
_atom_site_occupancy
Nd1 Nd 0.195 0.000 0.195 1
Nd2 Nd 0.223 0.521 0.298 1
Nd3 Nd 0.223 0.924 0.702 1
Nd4 Nd 0.271 0.473 0.798 1
Nd5 Nd 0.674 0.473 0.202 1
Nd6 Nd 0.750 0.055 0.305 1
Nd7 Nd 0.750 0.445 0.695 1
Nd8 Nd 0.805 0.000 0.805 1
Ag1 Ag 0.486 0.986 0.500 1
Ag2 Ag 0.736 0.736 0.000 1
Pt1 Pt 0.237 0.237 0.000 1
Pt2 Pt 0.987 0.487 0.500 1
# relative energy among the computed polymorphs: 269 meV per atom
# crystal system: tetragonal
# energy relative to the elements: -0.2343 eV per atom

***

(8)
# Nd12Ag6Pt | Alexandria | PBE | relaxed
data_Nd12Ag6Pt
_cell_length_a 8.324
_cell_length_b 8.324
_cell_length_c 8.324
_cell_angle_alpha 92.61
_cell_angle_beta 92.61
_cell_angle_gamma 92.61
_symmetry_space_group_name_H-M 'P 1'
_symmetry_Int_Tables_number 1
loop_
_symmetry_equiv_pos_as_xyz
'x,y,z'
loop_
_atom_site_label
_atom_site_type_symbol
_atom_site_fract_x
_atom_site_fract_y
_atom_site_fract_z
_atom_site_occupancy
Nd1 Nd 0.044 0.945 0.696 1
Nd2 Nd 0.055 0.304 0.956 1
Nd3 Nd 0.173 0.391 0.526 1
Nd4 Nd 0.304 0.956 0.055 1
Nd5 Nd 0.391 0.526 0.173 1
Nd6 Nd 0.474 0.827 0.609 1
Nd7 Nd 0.526 0.173 0.391 1
Nd8 Nd 0.609 0.474 0.827 1
Nd9 Nd 0.696 0.044 0.945 1
Nd10 Nd 0.827 0.609 0.474 1
Nd11 Nd 0.945 0.696 0.044 1
Nd12 Nd 0.956 0.055 0.304 1
Ag1 Ag 0.174 0.766 0.369 1
Ag2 Ag 0.234 0.631 0.826 1
Ag3 Ag 0.369 0.174 0.766 1
Ag4 Ag 0.631 0.826 0.234 1
Ag5 Ag 0.766 0.369 0.174 1
Ag6 Ag 0.826 0.234 0.631 1
Pt1 Pt 0.500 0.500 0.500 1
# crystal system: trigonal
# energy relative to the elements: -0.1440 eV per atom

***

(9)
# Nd4AgPt | Alexandria | PBE | relaxed
data_Nd4AgPt
_cell_length_a 9.926
_cell_length_b 9.926
_cell_length_c 9.926
_cell_angle_alpha 60.00
_cell_angle_beta 60.00
_cell_angle_gamma 60.00
_symmetry_space_group_name_H-M 'P 1'
_symmetry_Int_Tables_number 1
loop_
_symmetry_equiv_pos_as_xyz
'x,y,z'
loop_
_atom_site_label
_atom_site_type_symbol
_atom_site_fract_x
_atom_site_fract_y
_atom_site_fract_z
_atom_site_occupancy
Nd1 Nd 0.186 0.186 0.814 1
Nd2 Nd 0.186 0.814 0.186 1
Nd3 Nd 0.186 0.814 0.814 1
Nd4 Nd 0.395 0.395 0.395 1
Nd5 Nd 0.395 0.395 0.814 1
Nd6 Nd 0.395 0.814 0.395 1
Nd7 Nd 0.559 0.559 0.941 1
Nd8 Nd 0.559 0.941 0.559 1
Nd9 Nd 0.559 0.941 0.941 1
Nd10 Nd 0.814 0.186 0.186 1
Nd11 Nd 0.814 0.186 0.814 1
Nd12 Nd 0.814 0.395 0.395 1
Nd13 Nd 0.814 0.814 0.186 1
Nd14 Nd 0.941 0.559 0.559 1
Nd15 Nd 0.941 0.559 0.941 1
Nd16 Nd 0.941 0.941 0.559 1
Ag1 Ag 0.167 0.167 0.167 1
Ag2 Ag 0.167 0.167 0.498 1
Ag3 Ag 0.167 0.498 0.167 1
Ag4 Ag 0.498 0.167 0.167 1
Pt1 Pt 0.183 0.606 0.606 1
Pt2 Pt 0.606 0.183 0.606 1
Pt3 Pt 0.606 0.606 0.183 1
Pt4 Pt 0.606 0.606 0.606 1
# relative energy among the computed polymorphs: 0 meV per atom
# crystal system: cubic
# energy relative to the elements: -0.5031 eV per atom

***

(10)
# Nd7Ag2Pt2 | Alexandria | PBE | relaxed
data_Nd7Ag2Pt2
_cell_length_a 6.961
_cell_length_b 6.961
_cell_length_c 7.378
_cell_angle_alpha 90.00
_cell_angle_beta 90.00
_cell_angle_gamma 108.02
_symmetry_space_group_name_H-M 'P 1'
_symmetry_Int_Tables_number 1
loop_
_symmetry_equiv_pos_as_xyz
'x,y,z'
loop_
_atom_site_label
_atom_site_type_symbol
_atom_site_fract_x
_atom_site_fract_y
_atom_site_fract_z
_atom_site_occupancy
Nd1 Nd 0.000 0.000 0.000 1
Nd2 Nd 0.000 0.500 0.261 1
Nd3 Nd 0.000 0.500 0.739 1
Nd4 Nd 0.500 0.000 0.261 1
Nd5 Nd 0.500 0.000 0.739 1
Nd6 Nd 0.500 0.500 0.253 1
Nd7 Nd 0.500 0.500 0.747 1
Ag1 Ag 0.174 0.174 0.500 1
Ag2 Ag 0.826 0.826 0.500 1
Pt1 Pt 0.288 0.712 0.000 1
Pt2 Pt 0.712 0.288 0.000 1
# crystal system: orthorhombic
# energy relative to the elements: -0.3751 eV per atom

***

| no. | calculated volume (Å³ per cell) |
| --- | --- |
| 1 | 446.2 |
| 2 | 421.4 |
| 3 | 310.6 |
| 4 | 258.9 |
| 5 | 337.1 |
| 6 | 218.2 |
| 7 | 426.1 |
| 8 | 574.9 |
| 9 | 691.6 |
| 10 | 340.0 |